Cr2CoBr | PBE-GGA | optimized geometry

* energy above the most stable polymorph in this dataset: 0.451 eV/atom
* ΔE_f (raw): 0.902 eV/atom

a b c (Å): 6.3317 6.3317 7.5162
angles (deg): 90.00 90.00 90.00
Space group I-42d (No. 122)
One atom of each set of equivalent atoms:
Cr 0.2097 0.2500 0.1250 (multiplicity 8)
Co 0.0000 0.0000 0.0000 (multiplicity 4)
Br 0.0000 0.0000 0.5000 (multiplicity 4)

***

Li2DyZn2Ag2 | PBE-GGA | optimized geometry

* calculated formation energy: -216 meV per atom

a b c (Å): 7.9406 4.5492 7.7770
angles (deg): 90.00 109.88 90.00
Space group C2/m (No. 12)
One atom of each set of equivalent atoms:
Li 0.1418 0.0000 0.4240 (multiplicity 4)
Dy 0.0000 0.0000 0.0000 (multiplicity 2)
Zn 0.0790 0.5000 0.7411 (multiplicity 4)
Ag 0.2400 0.5000 0.2189 (multiplicity 4)

***

Si4P | PBE-GGA | optimized geometry

* energy above the most stable polymorph in this dataset: 0.000 eV/atom
* ΔE_f (raw): 0.561 eV/atom

a b c (Å): 4.2900 4.2900 9.1411
angles (deg): 90.00 90.00 90.00
Space group I4/mmm (No. 139)
One atom of each set of equivalent atoms:
Si 0.0000 0.0000 0.1242 (multiplicity 4)
Si 0.0000 0.5000 0.2500 (multiplicity 4)
P 0.0000 0.0000 0.5000 (multiplicity 2)

***

Be3InPb | PBE-GGA | optimized geometry

* energy above the most stable polymorph in this dataset: 0.000 eV/atom
* calculated formation energy: 1087 meV per atom

a b c (Å): 4.6519 4.6519 4.6519
angles (deg): 90.00 90.00 90.00
Space group Pm-3m (No. 221)
One atom of each set of equivalent atoms:
Be 0.0000 0.0000 0.5000 (multiplicity 3)
In 0.0000 0.0000 0.0000 (multiplicity 1)
Pb 0.5000 0.5000 0.5000 (multiplicity 1)

***

CdAgS | PBE-GGA | optimized geometry

* ΔE_f (raw): -0.114 eV/atom

a b c (Å): 5.3184 4.0161 7.2283
angles (deg): 90.00 108.45 90.00
Space group P2_1/m (No. 11)
One atom of each set of equivalent atoms:
Cd 0.1490 0.2500 0.2110 (multiplicity 2)
Ag 0.4291 0.2500 0.6191 (multiplicity 2)
S 0.1638 0.2500 0.8467 (multiplicity 2)

***

CsBaCu2I | PBE-GGA | optimized geometry

* ΔE_f (raw): 0.526 eV/atom

a b c (Å): 5.5599 5.5599 6.6120
angles (deg): 90.00 90.00 90.00
Space group P4/mmm (No. 123)
One atom of each set of equivalent atoms:
Cs 0.0000 0.0000 0.0000 (multiplicity 1)
Ba 0.5000 0.5000 0.0000 (multiplicity 1)
Cu 0.0000 0.5000 0.5000 (multiplicity 2)
I 0.0000 0.0000 0.5000 (multiplicity 1)

***

Pa4SiTeSe2 | PBE-GGA | optimized geometry

* ΔE_f (raw): -0.839 eV/atom

a b c (Å): 8.2901 8.3011 11.7371
angles (deg): 90.00 90.00 90.00
Space group F222 (No. 22)
One atom of each set of equivalent atoms:
Pa 0.0000 0.0000 0.2413 (multiplicity 8)
Pa 0.2500 0.2500 0.5049 (multiplicity 8)
Si 0.2500 0.2500 0.7500 (multiplicity 4)
Te 0.0000 0.0000 0.5000 (multiplicity 4)
Se 0.0000 0.0000 0.0000 (multiplicity 4)
Se 0.2500 0.2500 0.2500 (multiplicity 4)

***

Ac7TbSm3 | PBE-GGA | optimized geometry

* calculated formation energy: 272 meV per atom

a b c (Å): 12.2796 11.1516 6.9096
angles (deg): 90.00 96.83 90.00
Space group C2/m (No. 12)
One atom of each set of equivalent atoms:
Ac 0.0000 0.0000 0.0000 (multiplicity 2)
Ac 0.2368 0.5000 0.2279 (multiplicity 4)
Ac 0.2475 0.3289 0.7398 (multiplicity 8)
Tb 0.0000 0.0000 0.5000 (multiplicity 2)
Sm 0.0000 0.3373 0.0000 (multiplicity 4)
Sm 0.0000 0.5000 0.5000 (multiplicity 2)

***

LiPmHoPd | PBE-GGA | optimized geometry

* calculated formation energy: -374 meV per atom

a b c (Å): 7.1908 7.1908 7.1908
angles (deg): 90.00 90.00 90.00
Space group F-43m (No. 216)
One atom of each set of equivalent atoms:
Li 0.0000 0.0000 0.0000 (multiplicity 4)
Pm 0.2500 0.2500 0.7500 (multiplicity 4)
Ho 0.2500 0.2500 0.2500 (multiplicity 4)
Pd 0.0000 0.0000 0.5000 (multiplicity 4)

***

LaH3Pt | PBE-GGA | optimized geometry

a b c (Å): 4.2905 4.2905 8.6957
angles (deg): 90.00 90.00 120.00
Space group P6_3/mmc (No. 194)
One atom of each set of equivalent atoms:
La 0.0000 0.0000 0.0000 (multiplicity 2)
H 0.0000 0.0000 0.2500 (multiplicity 2)
H 0.3333 0.6667 0.0571 (multiplicity 4)
Pt 0.3333 0.6667 0.2500 (multiplicity 2)

***

LiHfZr2Ag | PBE-GGA | optimized geometry

* calculated formation energy: 647 meV per atom

a b c (Å): 4.7869 4.7869 4.4396
angles (deg): 90.00 90.00 90.00
Space group P4/mmm (No. 123)
One atom of each set of equivalent atoms:
Li 0.0000 0.0000 0.0000 (multiplicity 1)
Hf 0.5000 0.5000 0.5000 (multiplicity 1)
Zr 0.0000 0.5000 0.0000 (multiplicity 2)
Ag 0.0000 0.0000 0.5000 (multiplicity 1)

***

Be2H6Ru | PBE-GGA | optimized geometry

* energy above the most stable polymorph in this dataset: 0.000 eV/atom

a b c (Å): 4.0527 4.4217 7.3782
angles (deg): 90.00 119.14 90.00
Space group P2_1/c (No. 14)
One atom of each set of equivalent atoms:
Be 0.1734 0.0012 0.2482 (multiplicity 4)
H 0.1644 0.7295 0.9192 (multiplicity 4)
H 0.1656 0.2288 0.4208 (multiplicity 4)
H 0.4769 0.0037 0.7659 (multiplicity 4)
Ru 0.5000 0.0000 0.0000 (multiplicity 2)

***

LiCu3Bi | PBE-GGA | optimized geometry

* energy above the most stable polymorph in this dataset: 0.000 eV/atom
* calculated formation energy: 483 meV per atom

a b c (Å): 4.3591 4.3591 4.3591
angles (deg): 90.00 90.00 90.00
Space group Pm-3m (No. 221)
One atom of each set of equivalent atoms:
Li 0.0000 0.0000 0.0000 (multiplicity 1)
Cu 0.0000 0.0000 0.5000 (multiplicity 3)
Bi 0.5000 0.5000 0.5000 (multiplicity 1)

***

AgSb6Au5 | PBE-GGA | optimized geometry

* ΔE_f (raw): -0.010 eV/atom

a b c (Å): 6.9033 12.4124 7.1346
angles (deg): 90.00 110.30 90.00
Space group C2/m (No. 12)
One atom of each set of equivalent atoms:
Ag 0.0000 0.0000 0.0000 (multiplicity 2)
Sb 0.2469 0.3309 0.7485 (multiplicity 8)
Sb 0.2471 0.5000 0.2613 (multiplicity 4)
Au 0.0000 0.1676 0.5000 (multiplicity 4)
Au 0.0000 0.3342 0.0000 (multiplicity 4)
Au 0.0000 0.5000 0.5000 (multiplicity 2)

***

Dy3Zn2PtRh3 | PBE-GGA | optimized geometry

* calculated formation energy: -563 meV per atom

a b c (Å): 7.8180 7.8180 3.2068
angles (deg): 90.00 90.00 120.00
Space group P-62m (No. 189)
One atom of each set of equivalent atoms:
Dy 0.0000 0.7121 0.0000 (multiplicity 3)
Zn 0.3333 0.6667 0.0000 (multiplicity 2)
Pt 0.0000 0.0000 0.5000 (multiplicity 1)
Rh 0.0000 0.3995 0.5000 (multiplicity 3)

***

CsHf2SbW | PBE-GGA | optimized geometry

* ΔE_f (raw): 0.819 eV/atom

a b c (Å): 5.2810 5.2810 5.3593
angles (deg): 90.00 90.00 90.00
Space group P4/mmm (No. 123)
One atom of each set of equivalent atoms:
Cs 0.0000 0.0000 0.0000 (multiplicity 1)
Hf 0.0000 0.5000 0.5000 (multiplicity 2)
Sb 0.5000 0.5000 0.0000 (multiplicity 1)
W 0.5000 0.5000 0.5000 (multiplicity 1)

***

ZrTlCuBr6 | PBE-GGA | optimized geometry

* ΔE_f (raw): -0.979 eV/atom

a b c (Å): 6.9828 6.9828 14.6599
angles (deg): 90.00 90.00 120.00
Space group P-31c (No. 163)
One atom of each set of equivalent atoms:
Zr 0.3333 0.6667 0.2500 (multiplicity 2)
Tl 0.0000 0.0000 0.0000 (multiplicity 2)
Cu 0.3333 0.6667 0.7500 (multiplicity 2)
Br 0.0040 0.3751 0.1457 (multiplicity 12)

***

InSn2Pb4 | PBE-GGA | optimized geometry

* calculated formation energy: 55 meV per atom

a b c (Å): 6.3730 9.5762 7.0711
angles (deg): 90.00 99.62 90.00
Space group P2_1/c (No. 14)
One atom of each set of equivalent atoms:
In 0.0000 0.0000 0.0000 (multiplicity 2)
Sn 0.4088 0.0007 0.7857 (multiplicity 4)
Pb 0.2287 0.1874 0.3964 (multiplicity 4)
Pb 0.2300 0.6884 0.8978 (multiplicity 4)

***

TaTl2Pb | PBE-GGA | optimized geometry

* energy above the most stable polymorph in this dataset: 0.482 eV/atom
* calculated formation energy: 874 meV per atom

a b c (Å): 7.4668 7.4668 7.4668
angles (deg): 90.00 90.00 90.00
Space group F-43m (No. 216)
One atom of each set of equivalent atoms:
Ta 0.0000 0.0000 0.0000 (multiplicity 4)
Tl 0.0000 0.0000 0.5000 (multiplicity 4)
Tl 0.2500 0.2500 0.7500 (multiplicity 4)
Pb 0.2500 0.2500 0.2500 (multiplicity 4)

***

KRb2Y | PBE-GGA | optimized geometry

* energy above the most stable polymorph in this dataset: 0.221 eV/atom
* calculated formation energy: 695 meV per atom

a b c (Å): 11.0431 11.0431 8.3906
angles (deg): 90.00 90.00 90.00
Space group I-42d (No. 122)
One atom of each set of equivalent atoms:
K 0.0000 0.0000 0.0000 (multiplicity 4)
Rb 0.2419 0.2500 0.1250 (multiplicity 8)
Y 0.0000 0.0000 0.5000 (multiplicity 4)

***

What did we get for E? Answer: -6.104 -2.599 -4.859 -2.438 -2.745 -1.978 -7.529 -4.050 -4.483 -4.620 -5.716 -4.104 -3.133 -3.675 -5.502 -6.749 -3.762 -3.599 -4.200 -1.680 eV per atom, in the order shown.